(1)
SmFeTc | PBE-GGA | optimized geometry

The structure in POSCAR format:
```
SmFeTc
1.0
1.333 2.700 4.542
3.675 -2.031 3.398
4.964 2.042 0.599
Sm Fe Tc
2 2 2
Cartesian
5.548 0.351 3.067 Sm
4.424 2.360 5.471 Sm
0.666 1.350 2.271 Fe
0.000 0.000 0.000 Fe
2.504 0.334 3.970 Tc
3.149 2.371 2.570 Tc
```

Computed properties:
As for the density of states at the Fermi level: 6.05 states/eV/cell. The value obtained for the formation energy is -0.02 eV/f.u.

***

(2)
Sm2FeTc3 | PBE-GGA | optimized geometry

The structure in POSCAR format:
```
Sm2FeTc3
1.0
-5.100 -0.980 1.145
3.669 -3.779 0.734
2.854 3.402 3.277
Fe Sm Tc
1 2 3
Cartesian
0.000 0.000 0.000 Fe
-2.090 -1.722 1.559 Sm
3.513 0.365 3.598 Sm
-1.123 1.211 2.211 Tc
1.427 1.701 1.638 Tc
0.711 -0.679 2.578 Tc
```

Computed properties:
As for the density of states at the Fermi level: 6.28 states/eV/cell. The value obtained for the formation energy is -0.23 eV/f.u.

***

(3)
Sm3FeTe | PBE-GGA | optimized geometry

The structure in POSCAR format:
```
Sm3FeTe
1.0
-0.886 3.620 -1.498
-6.672 -3.425 -4.332
-2.938 2.363 7.448
Sm Te Fe
6 2 2
Cartesian
-7.968 0.511 3.255 Sm
-5.405 2.911 2.154 Sm
-7.753 0.258 -2.869 Sm
-5.091 -0.354 -0.536 Sm
-2.528 2.046 -1.637 Sm
-2.742 2.300 4.487 Sm
-2.894 1.017 1.476 Te
-7.601 1.541 0.142 Te
-4.566 0.900 -3.202 Fe
-5.929 1.658 4.820 Fe
```

Computed properties:
As for the density of states at the Fermi level: 11.08 states/eV/cell. The uncorrected formation energy is -0.538 eV per atom.

***

(4)
Sm6Fe2Te | PBE-GGA | optimized geometry

The structure in POSCAR format:
```
Sm6Fe2Te
1.0
-3.433 7.663 1.986
-3.803 -6.415 4.340
8.351 -0.170 2.162
Te Sm Fe
2 12 4
Cartesian
2.274 -3.292 3.251 Te
0.000 0.000 0.000 Te
0.906 -4.136 6.398 Sm
-1.153 1.742 2.571 Sm
5.379 -1.200 3.198 Sm
2.268 -0.664 5.917 Sm
-4.263 2.279 5.290 Sm
2.094 0.072 2.381 Sm
0.210 5.214 2.089 Sm
1.903 2.763 4.510 Sm
-0.788 -1.684 3.977 Sm
-0.979 1.006 6.106 Sm
-3.428 4.552 2.605 Sm
4.544 -3.473 5.882 Sm
-3.143 -0.063 3.841 Fe
4.259 1.141 4.646 Fe
3.015 4.593 2.542 Fe
1.903 2.900 1.605 Fe
```

Computed properties:
As for the density of states at the Fermi level: 17.45 states/eV/cell. The uncorrected formation energy is -0.214 eV per atom.

***

(5)
SmTh2Fe | PBE-GGA | optimized geometry

The structure in POSCAR format:
```
SmTh2Fe
1.0
3.870 0.000 0.000
1.935 3.352 0.000
1.935 1.117 8.902
Th Fe Sm
2 1 1
Cartesian
1.935 1.117 7.377 Th
1.935 1.117 1.505 Th
3.870 2.235 0.032 Fe
3.870 2.235 4.438 Sm
```

Computed properties:
As for the density of states at the Fermi level: 5.87 states/eV/cell. The value obtained for the formation energy is 0.15 eV/f.u.

***

(6)
Sm2Th3Fe2 | PBE-GGA | optimized geometry

The structure in POSCAR format:
```
Sm2Th3Fe2
1.0
3.690 -0.013 0.945
-0.652 9.041 2.517
0.378 1.113 6.049
Th Fe Sm
3 2 2
Cartesian
0.393 7.605 5.990 Th
0.000 0.000 0.000 Th
3.022 2.536 3.521 Th
2.058 9.148 7.222 Fe
1.357 0.993 2.288 Fe
2.256 4.448 6.379 Sm
1.159 5.693 3.132 Sm
```

Computed properties:
As for the density of states at the Fermi level: 8.87 states/eV/cell. The value obtained for the formation energy is 0.36 eV/f.u.

***

(7)
SmTh2Fe | PBE-GGA | optimized geometry

The structure in POSCAR format:
```
SmTh2Fe
1.0
6.326 0.000 0.000
0.000 7.018 0.000
0.000 0.000 9.738
Fe Th Sm
4 8 4
Cartesian
5.555 4.198 7.303 Fe
2.392 6.329 2.434 Fe
3.935 0.689 7.303 Fe
0.772 2.820 2.434 Fe
5.243 2.327 9.069 Th
2.080 1.182 0.669 Th
5.243 2.327 5.538 Th
4.246 5.836 5.538 Th
1.083 4.691 4.200 Th
4.246 5.836 9.069 Th
2.080 1.182 4.200 Th
1.083 4.691 0.669 Th
2.232 3.172 7.303 Sm
0.931 6.681 7.303 Sm
5.395 0.337 2.434 Sm
4.094 3.846 2.434 Sm
```

Computed properties:
As for the density of states at the Fermi level: 19.06 states/eV/cell. The value obtained for the formation energy is -0.20 eV/f.u.

***

(8)
SmTh2Fe9 | PBE-GGA | optimized geometry

The structure in POSCAR format:
```
SmTh2Fe9
1.0
5.156 0.000 0.000
2.578 4.465 0.000
2.578 1.488 8.248
Fe Th Sm
9 2 1
Cartesian
7.734 4.465 8.234 Fe
2.578 1.488 0.014 Fe
5.156 4.458 2.002 Fe
3.873 2.236 2.002 Fe
5.156 1.495 6.246 Fe
3.873 3.718 6.246 Fe
6.439 3.718 6.246 Fe
6.439 2.236 2.002 Fe
5.156 2.977 4.124 Fe
2.578 1.488 4.771 Th
7.734 4.465 3.477 Th
0.000 0.000 0.000 Sm
```

Computed properties:
As for the density of states at the Fermi level: 11.01 states/eV/cell. The value obtained for the formation energy is -0.51 eV/f.u.

***

(9)
SmTh4Fe4 | PBE-GGA | optimized geometry

The structure in POSCAR format:
```
SmTh4Fe4
1.0
-5.031 -0.932 -2.087
3.536 -3.465 -6.976
-0.132 -7.687 3.751
Th Fe Sm
8 8 2
Cartesian
0.246 -3.478 -5.437 Th
0.296 -5.240 0.708 Th
2.476 -6.028 -4.196 Th
0.307 -9.032 -4.943 Th
-1.242 -8.488 0.386 Th
-2.749 -9.093 -3.026 Th
-3.278 -3.805 -4.111 Th
-2.567 -3.168 -0.632 Th
-2.287 -6.190 -0.288 Fe
2.518 -8.518 -3.517 Fe
-0.840 -3.249 -2.591 Fe
-0.200 -6.052 -5.382 Fe
0.026 -2.793 -0.065 Fe
-3.690 -8.470 -0.705 Fe
-2.110 -4.386 -6.338 Fe
0.071 -8.675 -2.365 Fe
0.000 0.000 0.000 Sm
-0.814 -6.042 -2.656 Sm
```

Computed properties:
As for the density of states at the Fermi level: 13.99 states/eV/cell. The value obtained for the formation energy is 0.23 eV/f.u.

***

(10)
SmThFe4 | PBE-GGA | optimized geometry

The structure in POSCAR format:
```
SmThFe4
1.0
5.223 0.000 0.000
2.611 4.523 0.000
2.611 1.508 4.264
Fe Th Sm
4 1 1
Cartesian
5.223 1.502 2.667 Fe
6.533 3.772 2.667 Fe
5.223 3.015 0.527 Fe
3.912 3.772 2.667 Fe
0.000 0.000 0.000 Th
2.611 1.508 1.066 Sm
```

Computed properties:
As for the density of states at the Fermi level: 4.81 states/eV/cell. The value obtained for the formation energy is -0.14 eV/f.u.

***

(11)
SmThFe | PBE-GGA | optimized geometry

The structure in POSCAR format:
```
SmThFe
1.0
6.305 0.000 0.000
0.000 6.772 0.629
0.000 -2.428 6.791
Sm Th Fe
4 4 4
Cartesian
0.930 -1.139 5.925 Sm
2.223 0.075 2.529 Sm
4.083 4.270 4.891 Sm
5.375 5.484 1.495 Sm
1.093 2.430 5.076 Th
2.060 3.644 1.680 Th
5.213 1.915 2.344 Th
4.246 0.701 5.740 Th
3.764 1.032 0.137 Fe
0.612 4.527 3.887 Fe
5.694 -0.182 3.533 Fe
2.541 3.313 7.283 Fe
```

Computed properties:
As for the density of states at the Fermi level: 15.43 states/eV/cell. The value obtained for the formation energy is -0.03 eV/f.u.

***

(12)
Sm2ThFe | PBE-GGA | optimized geometry

The structure in POSCAR format:
```
Sm2ThFe
1.0
-3.648 4.883 1.903
-4.887 -4.527 2.248
4.268 -0.239 8.796
Th Sm Fe
4 8 4
Cartesian
-4.118 0.645 4.734 Th
-2.282 3.722 3.927 Th
-0.148 -0.529 8.213 Th
-1.984 -3.605 9.020 Th
-4.122 -0.594 8.183 Sm
-1.680 0.796 1.599 Sm
-0.144 0.710 4.764 Sm
-0.656 2.270 10.492 Sm
-2.586 -0.680 11.348 Sm
-3.610 -2.154 2.455 Sm
-2.192 2.357 7.326 Sm
-2.074 -2.240 5.621 Sm
-3.500 1.820 9.903 Fe
-0.766 -1.704 3.044 Fe
-4.985 -1.590 5.094 Fe
0.719 1.707 7.853 Fe
```

Computed properties:
As for the density of states at the Fermi level: 19.03 states/eV/cell. The value obtained for the formation energy is -0.17 eV/f.u.